A plane-wave DFT calculation with PBE was carried out for crystalline Ta3VSi at its relaxed geometry.

Crystal system = cubic
Polymorph energy (0 for the lowest one) = 302 meV per atom
E_form (uncorrected) = 1.217 eV/atom

Cell and atoms, written as CIF:
```
data_Ta3VSi
_chemical_formula_sum 'Ta3 V1 Si1'
_cell_length_a 4.6127
_cell_length_b 4.6127
_cell_length_c 4.6127
_cell_angle_alpha 90.00
_cell_angle_beta 90.00
_cell_angle_gamma 90.00
_space_group_name_H-M_alt 'P m -3 m'
_space_group_IT_number 221
_space_group_name_Hall '-P 4 2 3'
loop_
_atom_site_label
_atom_site_fract_x
_atom_site_fract_y
_atom_site_fract_z
Ta1 0.0000 0.0000 0.5000
V1 0.0000 0.0000 0.0000
Si1 0.5000 0.5000 0.5000
```